1.
Computed, not measured: a relaxed Sr2OsPb crystal at the PBEsol level of DFT.

Computed properties:
**Energy**: -18.02 eV/cell
**ΔE_f**: 0.468 eV per atom
**SG**: F-43m (216)
**M_tot**: 0.64 μB per formula unit

a = 5.1650 Å, b = 5.1650 Å, c = 5.1650 Å
α = 60.00°, β = 60.00°, γ = 60.00°
Sites, in units of the cell vectors:
Sr  0.0000  0.0000  0.0000
Sr  0.2500  0.2500  0.2500
Os  0.5000  0.5000  0.5000
Pb  0.7500  0.7500  0.7500


2.
Computed, not measured: a relaxed TaOsPb2 crystal at the PBEsol level of DFT.

Computed properties:
**Energy**: -28.89 eV/cell
**ΔE_f**: 0.969 eV per atom
**SG**: Fm-3m (225)
**M_tot**: 1.77 μB per formula unit

a = 4.7824 Å, b = 4.7824 Å, c = 4.7824 Å
α = 60.00°, β = 60.00°, γ = 60.00°
Sites, in units of the cell vectors:
Ta  0.0000  0.0000  0.0000
Os  0.5000  0.5000  0.5000
Pb  0.2500  0.2500  0.2500
Pb  0.7500  0.7500  0.7500


3.
Computed, not measured: a relaxed TaOs2Pb crystal at the PBEsol level of DFT.

Computed properties:
**Energy**: -38.31 eV/cell
**ΔE_f**: 0.669 eV per atom
**SG**: Immm (71)
**M_tot**: 0.00 μB per formula unit

a = 5.3927 Å, b = 5.3927 Å, c = 5.3927 Å
α = 146.47°, β = 126.53°, γ = 64.60°
Sites, in units of the cell vectors:
Ta  0.0000  0.0000  0.0000
Os  0.2318  0.7318  0.5000
Os  0.7682  0.2682  0.5000
Pb  0.5000  0.5000  0.0000


4.
Computed, not measured: a relaxed TaOs2Pb crystal at the PBEsol level of DFT.

Computed properties:
**Energy**: -38.98 eV/cell
**ΔE_f**: 0.501 eV per atom
**SG**: Cmmm (65)
**M_tot**: 0.00 μB per formula unit

a = 4.6427 Å, b = 4.6427 Å, c = 3.1376 Å
α = 90.00°, β = 90.00°, γ = 98.10°
Sites, in units of the cell vectors:
Ta  0.0000  0.0000  0.0000
Os  0.0000  0.5000  0.5000
Os  0.5000  0.0000  0.5000
Pb  0.5000  0.5000  0.0000